[1]
First-principles (PBE) data for a geometry-optimized AcPrSeO structure, as listed in Alexandria.

E	-52.18	eV per cell

Cell: 4.4504 4.4504 10.1324 Å, 90.00 90.00 90.00°
Element x y z (fractional)
Se: 0.0000 0.5000 0.2861
Se: 0.5000 0.0000 0.7139
Pr: 0.5000 0.5000 0.5000
Pr: 0.0000 0.0000 0.5000
O: 0.0000 0.0000 0.0000
O: 0.5000 0.5000 0.0000
Ac: 0.0000 0.5000 0.8844
Ac: 0.5000 0.0000 0.1156

=====

[2]
First-principles (PBE) data for a geometry-optimized Ac2PrSeO8 structure, as listed in Alexandria.

E	-82.34	eV per cell

Cell: 4.4004 5.5461 7.1783 Å, 87.39 99.25 90.77°
Element x y z (fractional)
O: 0.0827 0.7477 0.8496
O: 0.9342 0.7750 0.1951
O: 0.3853 0.0224 0.1174
O: 0.4796 0.2497 0.4956
O: 0.6147 0.9776 0.8826
O: 0.5204 0.7503 0.5044
O: 0.9173 0.2523 0.1504
O: 0.0658 0.2250 0.8049
Se: 0.0000 0.0000 0.0000
Ac: 0.5733 0.4794 0.7721
Ac: 0.4267 0.5206 0.2279
Pr: 0.0000 0.0000 0.5000

=====

What is the E in the first record? -52.18 eV per cell

=====

Please write out number 2 again, unchanged.
First-principles (PBE) data for a geometry-optimized Ac2PrSeO8 structure, as listed in Alexandria.

E	-82.34	eV per cell

Cell: 4.4004 5.5461 7.1783 Å, 87.39 99.25 90.77°
Element x y z (fractional)
O: 0.0827 0.7477 0.8496
O: 0.9342 0.7750 0.1951
O: 0.3853 0.0224 0.1174
O: 0.4796 0.2497 0.4956
O: 0.6147 0.9776 0.8826
O: 0.5204 0.7503 0.5044
O: 0.9173 0.2523 0.1504
O: 0.0658 0.2250 0.8049
Se: 0.0000 0.0000 0.0000
Ac: 0.5733 0.4794 0.7721
Ac: 0.4267 0.5206 0.2279
Pr: 0.0000 0.0000 0.5000

=====

Repeat the second record exactly.
First-principles (PBE) data for a geometry-optimized Ac2PrSeO8 structure, as listed in Alexandria.

E	-82.34	eV per cell

Cell: 4.4004 5.5461 7.1783 Å, 87.39 99.25 90.77°
Element x y z (fractional)
O: 0.0827 0.7477 0.8496
O: 0.9342 0.7750 0.1951
O: 0.3853 0.0224 0.1174
O: 0.4796 0.2497 0.4956
O: 0.6147 0.9776 0.8826
O: 0.5204 0.7503 0.5044
O: 0.9173 0.2523 0.1504
O: 0.0658 0.2250 0.8049
Se: 0.0000 0.0000 0.0000
Ac: 0.5733 0.4794 0.7721
Ac: 0.4267 0.5206 0.2279
Pr: 0.0000 0.0000 0.5000

=====

Please write out number 2 again, unchanged.
First-principles (PBE) data for a geometry-optimized Ac2PrSeO8 structure, as listed in Alexandria.

E	-82.34	eV per cell

Cell: 4.4004 5.5461 7.1783 Å, 87.39 99.25 90.77°
Element x y z (fractional)
O: 0.0827 0.7477 0.8496
O: 0.9342 0.7750 0.1951
O: 0.3853 0.0224 0.1174
O: 0.4796 0.2497 0.4956
O: 0.6147 0.9776 0.8826
O: 0.5204 0.7503 0.5044
O: 0.9173 0.2523 0.1504
O: 0.0658 0.2250 0.8049
Se: 0.0000 0.0000 0.0000
Ac: 0.5733 0.4794 0.7721
Ac: 0.4267 0.5206 0.2279
Pr: 0.0000 0.0000 0.5000